(1)
Here is an optimized crystal structure of SrGa3Os from Alexandria. Energies are from PBE-GGA.

abc: 5.559 5.559 5.559
angles: 90.00 90.00 90.00
Space group Pm-3m (No. 221)
Symmetry-distinct sites (fractional):
Sr: 0.000 0.000 0.000 [1 per cell]
Ga: 0.000 0.000 0.500 [3 per cell]
Os: 0.500 0.500 0.500 [1 per cell]

## Properties
The value obtained for the electronic total energy is -2.32 eV per atom. Its energy relative to the elements is 2074 meV/atom. The calculation puts the energy above the most stable polymorph in this dataset at 1146 kJ/mol of formula units. As for the magnetic moment: 2.360 Bohr magnetons per cell.

(2)
Here is an optimized crystal structure of BaCaY3 from Alexandria. Energies are from PBE-GGA.

abc: 5.918 5.918 5.918
angles: 90.00 90.00 90.00
Space group Pm-3m (No. 221)
Symmetry-distinct sites (fractional):
Ba: 0.000 0.000 0.000 [1 per cell]
Ca: 0.500 0.500 0.500 [1 per cell]
Y: 0.000 0.500 0.500 [3 per cell]

## Properties
The value obtained for the electronic total energy is -3.97 eV per atom. Its energy relative to the elements is 690 meV/atom. The calculation puts the energy above the most stable polymorph in this dataset at 0 kJ/mol of formula units. As for the magnetic moment: 0.000 Bohr magnetons per cell.

(3)
Here is an optimized crystal structure of KSrCo2 from Alexandria. Energies are from PBE-GGA.

abc: 5.354 5.354 3.765
angles: 90.00 90.00 90.00
Space group P4/mmm (No. 123)
Symmetry-distinct sites (fractional):
K: 0.000 0.000 0.000 [1 per cell]
Sr: 0.500 0.500 0.000 [1 per cell]
Co: 0.000 0.500 0.500 [2 per cell]

## Properties
The value obtained for the electronic total energy is -3.15 eV per atom. Its energy relative to the elements is 1094 meV/atom. The calculation puts the energy above the most stable polymorph in this dataset at 279 kJ/mol of formula units. As for the magnetic moment: 3.282 Bohr magnetons per cell.

(4)
Here is an optimized crystal structure of BaSrSiSe4 from Alexandria. Energies are from PBE-GGA.

abc: 7.044 7.089 8.926
angles: 90.00 108.13 90.00
Space group P2_1/m (No. 11)
Symmetry-distinct sites (fractional):
Ba: 0.230 0.250 0.430 [2 per cell]
Sr: 0.271 0.250 0.947 [2 per cell]
Si: 0.285 0.750 0.194 [2 per cell]
Se: 0.095 0.750 0.363 [2 per cell]
Se: 0.107 0.750 0.933 [2 per cell]
Se: 0.498 0.003 0.249 [4 per cell]

## Properties
The value obtained for the electronic total energy is -4.71 eV per atom. As for the magnetic moment: 0.000 Bohr magnetons per cell. As for the uncorrected formation energy: -1.43 eV per atom.

(5)
Here is an optimized crystal structure of CePuTlAg from Alexandria. Energies are from PBE-GGA.

abc: 7.574 7.574 7.574
angles: 90.00 90.00 90.00
Space group F-43m (No. 216)
Symmetry-distinct sites (fractional):
Ce: 0.000 0.000 0.000 [4 per cell]
Pu: 0.000 0.000 0.500 [4 per cell]
Tl: 0.250 0.250 0.750 [4 per cell]
Ag: 0.250 0.250 0.250 [4 per cell]

## Properties
The value obtained for the electronic total energy is -6.39 eV per atom. Its energy relative to the elements is -18 meV/atom. As for the magnetic moment: 27.423 Bohr magnetons per cell.

(6)
Here is an optimized crystal structure of ZrTi5Al3 from Alexandria. Energies are from PBE-GGA.

abc: 7.9850 7.9850 5.6211
angles: 90.00 90.00 120.00
Space group P6_3/mcm (No. 193)
Symmetry-distinct sites (fractional):
Zr: 0.0000 0.0000 0.0000 [2 per cell]
Ti: 0.0000 0.3361 0.2500 [6 per cell]
Ti: 0.3333 0.6667 0.0000 [4 per cell]
Al: 0.0000 0.3376 0.7500 [6 per cell]

## Properties
The value obtained for the electronic total energy is -6.89 eV per atom. Its energy relative to the elements is -304 meV/atom. As for the magnetic moment: 0.000 Bohr magnetons per cell.

(7)
Here is an optimized crystal structure of Pm4Er2Th3 from Alexandria. Energies are from PBE-GGA.

abc: 3.5746 3.5746 26.9177
angles: 90.00 90.00 120.00
Space group P3m1 (No. 156)
Symmetry-distinct sites (fractional):
Pm: 0.0000 0.0000 0.0000 [1 per cell]
Pm: 0.0000 0.0000 0.2182 [1 per cell]
Pm: 0.3333 0.6667 0.3330 [1 per cell]
Pm: 0.3333 0.6667 0.5540 [1 per cell]
Er: 0.0000 0.0000 0.6621 [1 per cell]
Er: 0.0000 0.0000 0.8752 [1 per cell]
Th: 0.0000 0.0000 0.4428 [1 per cell]
Th: 0.3333 0.6667 0.1080 [1 per cell]
Th: 0.3333 0.6667 0.7710 [1 per cell]

## Properties
The value obtained for the electronic total energy is -5.51 eV per atom. Its energy relative to the elements is 89 meV/atom. As for the magnetic moment: 0.000 Bohr magnetons per cell.

(8)
Here is an optimized crystal structure of Cs3PrPu2O9 from Alexandria. Energies are from PBE-GGA.

abc: 6.2893 6.2893 7.7149
angles: 90.00 90.00 120.00
Space group P-3m1 (No. 164)
Symmetry-distinct sites (fractional):
Cs: 0.0000 0.0000 0.0000 [1 per cell]
Cs: 0.3333 0.6667 0.6627 [2 per cell]
Pr: 0.0000 0.0000 0.5000 [1 per cell]
Pu: 0.3333 0.6667 0.1582 [2 per cell]
O: 0.0000 0.5000 0.0000 [3 per cell]
O: 0.1811 0.3621 0.3128 [6 per cell]

## Properties
The value obtained for the electronic total energy is -7.81 eV per atom. As for the magnetic moment: 4.000 Bohr magnetons per cell. As for the uncorrected formation energy: -2.44 eV per atom.

(9)
Here is an optimized crystal structure of Pm2NdUS4 from Alexandria. Energies are from PBE-GGA.

abc: 6.948 3.978 6.955
angles: 90.00 109.14 90.00
Space group P2/m (No. 10)
Symmetry-distinct sites (fractional):
Pm: 0.000 0.000 0.000 [1 per cell]
Pm: 0.000 0.500 0.500 [1 per cell]
Nd: 0.500 0.000 0.500 [1 per cell]
U: 0.500 0.500 0.000 [1 per cell]
S: 0.252 0.500 0.244 [2 per cell]
S: 0.257 0.000 0.759 [2 per cell]

## Properties
The value obtained for the electronic total energy is -7.10 eV per atom. As for the magnetic moment: 2.751 Bohr magnetons per cell. As for the uncorrected formation energy: -1.84 eV per atom.

(10)
Here is an optimized crystal structure of La6Sn2Te3As from Alexandria. Energies are from PBE-GGA.

abc: 19.985 4.578 9.184
angles: 90.00 103.43 90.00
Space group C2/m (No. 12)
Symmetry-distinct sites (fractional):
La: 0.002 0.000 0.233 [4 per cell]
La: 0.160 0.500 0.085 [4 per cell]
La: 0.168 0.500 0.578 [4 per cell]
Sn: 0.166 0.000 0.331 [4 per cell]
Te: 0.000 0.500 0.500 [2 per cell]
Te: 0.167 0.000 0.834 [4 per cell]
As: 0.000 0.500 0.000 [2 per cell]

## Properties
The value obtained for the electronic total energy is -5.65 eV per atom. As for the magnetic moment: 0.000 Bohr magnetons per cell. As for the uncorrected formation energy: -1.35 eV per atom.

(11)
Here is an optimized crystal structure of Sr2TePPd6 from Alexandria. Energies are from PBE-GGA.

abc: 5.786 9.096 8.169
angles: 90.00 90.00 90.00
Space group Pmmn (No. 59, origin choice 2)
Symmetry-distinct sites (fractional):
Sr: 0.250 0.012 0.230 [4 per cell]
Te: 0.250 0.750 0.784 [2 per cell]
P: 0.250 0.250 0.726 [2 per cell]
Pd: 0.006 0.750 0.495 [4 per cell]
Pd: 0.009 0.250 0.952 [4 per cell]
Pd: 0.250 0.005 0.620 [4 per cell]

## Properties
The value obtained for the electronic total energy is -5.02 eV per atom. As for the magnetic moment: 0.000 Bohr magnetons per cell. As for the uncorrected formation energy: -0.71 eV per atom.

(12)
Here is an optimized crystal structure of Sr2AcRhO5 from Alexandria. Energies are from PBE-GGA.

abc: 3.939 5.814 11.993
angles: 90.00 90.00 90.00
Space group Immm (No. 71)
Symmetry-distinct sites (fractional):
Sr: 0.000 0.000 0.204 [4 per cell]
Ac: 0.000 0.500 0.000 [2 per cell]
Rh: 0.000 0.500 0.500 [2 per cell]
O: 0.000 0.000 0.000 [2 per cell]
O: 0.000 0.243 0.377 [8 per cell]

## Properties
The value obtained for the electronic total energy is -6.69 eV per atom. As for the magnetic moment: 0.000 Bohr magnetons per cell. As for the uncorrected formation energy: -2.29 eV per atom.

(13)
Here is an optimized crystal structure of ZnCr from Alexandria. Energies are from PBE-GGA.

abc: 3.217 3.769 4.172
angles: 90.00 90.00 90.00
Space group Cmmm (No. 65)
Symmetry-distinct sites (fractional):
Zn: 0.000 0.000 0.000 [2 per cell]
Cr: 0.000 0.500 0.500 [2 per cell]

## Properties
The value obtained for the electronic total energy is -5.23 eV per atom. Its energy relative to the elements is 217 meV/atom. As for the magnetic moment: 0.002 Bohr magnetons per cell.

(14)
Here is an optimized crystal structure of BaMgCo2 from Alexandria. Energies are from PBE-GGA.

abc: 4.0814 4.0814 19.9306
angles: 90.00 90.00 120.00
Space group R3m (No. 160, hexagonal axes)
Symmetry-distinct sites (fractional):
Ba: 0.0000 0.0000 0.0000 [3 per cell]
Mg: 0.0000 0.0000 0.8181 [3 per cell]
Co: 0.0000 0.0000 0.2171 [3 per cell]
Co: 0.0000 0.0000 0.5479 [3 per cell]

## Properties
The value obtained for the electronic total energy is -4.25 eV per atom. Its energy relative to the elements is 187 meV/atom. As for the magnetic moment: 8.410 Bohr magnetons per cell.

(15)
Here is an optimized crystal structure of SnP from Alexandria. Energies are from PBE-GGA.

abc: 3.867 4.665 5.563
angles: 90.00 90.00 90.00
Space group Pmmn (No. 59, origin choice 2)
Symmetry-distinct sites (fractional):
Sn: 0.250 0.250 0.190 [2 per cell]
P: 0.250 0.750 0.468 [2 per cell]

## Properties
The value obtained for the electronic total energy is -4.42 eV per atom. Its energy relative to the elements is 281 meV/atom. As for the magnetic moment: 0.000 Bohr magnetons per cell.

(16)
Here is an optimized crystal structure of Co2Pt9Rh from Alexandria. Energies are from PBE-GGA.

abc: 3.902 3.902 11.741
angles: 90.00 90.00 90.00
Space group P4/mmm (No. 123)
Symmetry-distinct sites (fractional):
Co: 0.000 0.000 0.166 [2 per cell]
Pt: 0.000 0.500 0.000 [2 per cell]
Pt: 0.000 0.500 0.328 [4 per cell]
Pt: 0.500 0.500 0.164 [2 per cell]
Pt: 0.500 0.500 0.500 [1 per cell]
Rh: 0.000 0.000 0.500 [1 per cell]

## Properties
The value obtained for the electronic total energy is -6.38 eV per atom. Its energy relative to the elements is -55 meV/atom. As for the magnetic moment: 7.409 Bohr magnetons per cell.

(17)
Here is an optimized crystal structure of SrVCoCl2 from Alexandria. Energies are from PBE-GGA.

abc: 4.709 4.709 5.639
angles: 90.00 90.00 90.00
Space group P4/mmm (No. 123)
Symmetry-distinct sites (fractional):
Sr: 0.000 0.000 0.000 [1 per cell]
V: 0.500 0.500 0.000 [1 per cell]
Co: 0.000 0.000 0.500 [1 per cell]
Cl: 0.000 0.500 0.500 [2 per cell]

## Properties
The value obtained for the electronic total energy is -3.95 eV per atom. As for the magnetic moment: 5.791 Bohr magnetons per cell. As for the uncorrected formation energy: 0.37 eV per atom.

(18)
Here is an optimized crystal structure of BeTlIr2 from Alexandria. Energies are from PBE-GGA.

abc: 2.842 3.398 13.413
angles: 90.00 90.00 90.00
Space group Imm2 (No. 44)
Symmetry-distinct sites (fractional):
Be: 0.000 0.000 0.000 [2 per cell]
Tl: 0.000 0.500 0.759 [2 per cell]
Ir: 0.000 0.000 0.444 [2 per cell]
Ir: 0.000 0.500 0.115 [2 per cell]

## Properties
The value obtained for the electronic total energy is -5.81 eV per atom. Its energy relative to the elements is 146 meV/atom. The calculation puts the energy above the most stable polymorph in this dataset at 4 kJ/mol of formula units. As for the magnetic moment: 0.000 Bohr magnetons per cell.

(19)
Here is an optimized crystal structure of ZnTeSe from Alexandria. Energies are from PBE-GGA.

abc: 5.117 4.050 8.080
angles: 90.00 102.65 90.00
Space group P2_1/m (No. 11)
Symmetry-distinct sites (fractional):
Zn: 0.142 0.250 0.155 [2 per cell]
Te: 0.402 0.750 0.601 [2 per cell]
Se: 0.148 0.250 0.844 [2 per cell]

## Properties
The value obtained for the electronic total energy is -2.98 eV per atom. The calculation puts the energy above the most stable polymorph in this dataset at 0 kJ/mol of formula units. As for the magnetic moment: 0.000 Bohr magnetons per cell. As for the uncorrected formation energy: -0.34 eV per atom.

(20)
Here is an optimized crystal structure of Nd3Zn2Ru from Alexandria. Energies are from PBE-GGA.

abc: 12.313 4.479 11.068
angles: 90.00 90.00 90.00
Space group Pnma (No. 62)
Symmetry-distinct sites (fractional):
Nd: 0.054 0.250 0.115 [4 per cell]
Nd: 0.112 0.750 0.556 [4 per cell]
Nd: 0.236 0.250 0.788 [4 per cell]
Zn: 0.012 0.750 0.300 [4 per cell]
Zn: 0.205 0.750 0.992 [4 per cell]
Ru: 0.117 0.250 0.361 [4 per cell]

## Properties
The value obtained for the electronic total energy is -4.63 eV per atom. Its energy relative to the elements is -276 meV/atom. As for the magnetic moment: 0.000 Bohr magnetons per cell.